[1]
Here is crystalline BaErAu2 at its relaxed geometry from the Alexandria database. Energies are from PBE-GGA.

POSCAR file:
```
BaErAu2
1.0
3.7333 0.0000 0.0000
0.0000 3.7333 0.0000
0.0000 0.0000 7.7902
Ba Er Au
1 1 2
Cartesian
0.0000 0.0000 0.0000 Ba
0.0000 0.0000 3.8951 Er
1.8667 1.8667 2.3745 Au
1.8667 1.8667 5.4157 Au
```

Output
ΔE to the lowest computed polymorph   0.0 meV per atom
DFT total energy   -4.01 eV per atom
Energy relative to the elements   -754 meV/atom
Calculated volume   27.1 Å³/atom

---

[2]
Here is crystalline Ho2AsSe at its relaxed geometry from the Alexandria database. Energies are from PBE-GGA.

POSCAR file:
```
Ho2AsSe
1.0
4.0089 0.0000 0.0000
-2.0044 3.4718 0.0000
0.0000 0.0000 21.1143
Ho As Se
6 3 3
Cartesian
0.0000 0.0000 0.0000 Ho
0.0000 0.0000 3.8083 Ho
0.0000 2.3145 14.0762 Ho
0.0000 2.3145 17.8845 Ho
2.0044 1.1573 7.0381 Ho
2.0044 1.1573 10.8464 Ho
0.0000 0.0000 12.4263 As
0.0000 2.3145 5.3882 As
2.0044 1.1573 19.4644 As
0.0000 0.0000 16.0073 Se
0.0000 2.3145 8.9692 Se
2.0044 1.1573 1.9311 Se
```

Output
ΔE to the lowest computed polymorph   75.5 meV per atom
DFT total energy   -5.94 eV per atom
Calculated volume   24.5 Å³/atom

---

[3]
Here is crystalline KMgCr2 at its relaxed geometry from the Alexandria database. Energies are from PBE-GGA.

POSCAR file:
```
KMgCr2
1.0
3.1191 0.0000 0.0000
0.0000 5.7172 0.0000
0.0000 0.0000 10.9321
K Mg Cr
2 2 4
Cartesian
0.0000 0.0000 0.0000 K
1.5595 2.8586 5.4660 K
0.0000 2.8586 8.7303 Mg
1.5595 0.0000 3.2643 Mg
0.0000 0.0000 5.9658 Cr
0.0000 2.8586 2.3222 Cr
1.5595 0.0000 7.7883 Cr
1.5595 2.8586 0.4998 Cr
```

Output
DFT total energy   -4.64 eV per atom
Energy relative to the elements   842 meV/atom
Calculated volume   24.4 Å³/atom